# Sn4HgRh

Crystalline Sn4HgRh at its relaxed geometry (PBE, Alexandria).

Cell lengths 4.624, 4.633, 7.277 Å; angles 85.51, 86.66, 88.71 degrees
Space group P-1 (No. 2)
One atom of each set of equivalent atoms:
Sn1 0.001 0.480 0.217
Sn2 0.485 0.003 0.217
Hg1 0.500 0.500 0.500
Rh1 0.000 0.000 0.000

Results
E_form = -0.751 eV per formula unit

***

# Sn2HgRh

Crystalline Sn2HgRh at its relaxed geometry (PBE, Alexandria).

Cell lengths 4.3850, 4.3850, 17.3495 Å; angles 90.00, 90.00, 120.00 degrees
Space group R3m (No. 160, hexagonal axes)
One atom of each set of equivalent atoms:
Sn1 0.0000 0.0000 0.0000
Sn2 0.0000 0.0000 0.2137
Hg1 0.0000 0.0000 0.4337
Rh1 0.0000 0.0000 0.5991

Results
E_form = -0.377 eV per formula unit

***

# SnHg2Rh2

Crystalline SnHg2Rh2 at its relaxed geometry (PBE, Alexandria).

Cell lengths 6.783, 6.783, 4.230 Å; angles 90.00, 90.00, 90.00 degrees
Space group P4/mbm (No. 127)
One atom of each set of equivalent atoms:
Sn1 0.000 0.000 0.000
Hg1 0.157 0.343 0.500
Rh1 0.144 0.644 0.000

Results
E_form = -0.287 eV per formula unit

***

# Sr2Sn3HgRh4

Crystalline Sr2Sn3HgRh4 at its relaxed geometry (PBE, Alexandria).

Cell lengths 4.557, 4.557, 10.927 Å; angles 90.00, 90.00, 90.00 degrees
Space group P-4m2 (No. 115)
One atom of each set of equivalent atoms:
Sr1 0.000 0.500 0.248
Sn1 0.000 0.500 0.876
Sn2 0.500 0.500 0.500
Hg1 0.000 0.000 0.500
Rh1 0.000 0.000 0.000
Rh2 0.000 0.500 0.637
Rh3 0.500 0.500 0.000

Results
E_form = -5.429 eV per formula unit

***

# SrSnHg2Rh

Crystalline SrSnHg2Rh at its relaxed geometry (PBE, Alexandria).

Cell lengths 5.296, 5.296, 5.049 Å; angles 90.00, 90.00, 90.00 degrees
Space group P4/mmm (No. 123)
One atom of each set of equivalent atoms:
Sr1 0.000 0.000 0.000
Sn1 0.500 0.500 0.000
Hg1 0.000 0.500 0.500
Rh1 0.500 0.500 0.500

Results
E_form = -1.316 eV per formula unit

***

# Sr2Sn4HgRh3

Crystalline Sr2Sn4HgRh3 at its relaxed geometry (PBE, Alexandria).

Cell lengths 4.666, 4.666, 10.991 Å; angles 90.00, 90.00, 90.00 degrees
Space group P-4m2 (No. 115)
One atom of each set of equivalent atoms:
Sr1 0.000 0.500 0.247
Sn1 0.000 0.000 0.000
Sn2 0.000 0.500 0.641
Sn3 0.500 0.500 0.000
Hg1 0.000 0.000 0.500
Rh1 0.000 0.500 0.879
Rh2 0.500 0.500 0.500

Results
E_form = -5.072 eV per formula unit

***

# SrSn2HgRh

Crystalline SrSn2HgRh at its relaxed geometry (PBE, Alexandria).

Cell lengths 5.107, 5.107, 5.791 Å; angles 90.00, 90.00, 90.00 degrees
Space group P4/mmm (No. 123)
One atom of each set of equivalent atoms:
Sr1 0.000 0.000 0.000
Sn1 0.000 0.500 0.500
Hg1 0.500 0.500 0.000
Rh1 0.000 0.000 0.500

Results
E_form = -1.619 eV per formula unit

***

# TbSnHgRh

Crystalline TbSnHgRh at its relaxed geometry (PBE, Alexandria).

Cell lengths 6.995, 6.995, 6.995 Å; angles 90.00, 90.00, 90.00 degrees
Space group F-43m (No. 216)
One atom of each set of equivalent atoms:
Tb1 0.000 0.000 0.000
Sn1 0.000 0.000 0.500
Hg1 0.250 0.250 0.250
Rh1 0.250 0.250 0.750

Results
E_form = -1.720 eV per formula unit

***

The highest E_form belongs to which entry? SnHg2Rh2

***

What is the E_form in the third record? -0.287 eV per formula unit

***

Among the records above, which one has the highest E_form? SnHg2Rh2

***

Number 5 is which compound? SrSnHg2Rh